No. 1
# CdTeMo2Ir

CdTeMo2Ir after structural relaxation (PBE-GGA, Alexandria).

a b c (Å): 2.9575 5.0923 13.5997
angles (deg): 90.00 90.00 90.00
Last column: nearest neighbours and their distance in Å.
Fractional coordinates of all 10 atoms:
Cd: 0.5000 0.0000 0.0813  2 Mo 2.95, 2 Cd 2.96, 4 Ir 2.98
Cd: 0.5000 0.5000 0.5813  2 Mo 2.95, 2 Cd 2.96, 4 Ir 2.98
Te: 0.0000 0.0000 0.4153  1 Ir 2.72, 4 Mo 2.86, 2 Te 2.96
Te: 0.0000 0.5000 0.9153  1 Ir 2.72, 4 Mo 2.86, 2 Te 2.96
Mo: 0.5000 0.7831 0.7701  1 Mo 2.21
Mo: 0.5000 0.2169 0.7701  1 Mo 2.21
Mo: 0.5000 0.2831 0.2701  1 Mo 2.21
Mo: 0.5000 0.7169 0.2701  1 Mo 2.21
Ir: 0.0000 0.0000 0.6156  1 Te 2.72, 4 Mo 2.80, 2 Ir 2.96, 4 Cd 2.98
Ir: 0.0000 0.5000 0.1156  1 Te 2.72, 4 Mo 2.80, 2 Ir 2.96, 4 Cd 2.98

D(E_F), states/eV/f.u.: 3.2
Electronic total energy, eV per atom: -6.512
Energy relative to the elements, uncorrected, meV per atom: 404
Magnetization, μB per cell: 0.00
Space-group type: Amm2, No. 38

=====

No. 2
# CdTeMo2Ir

CdTeMo2Ir after structural relaxation (PBE-GGA, Alexandria).

a b c (Å): 4.5963 3.2689 6.7561
angles (deg): 90.00 97.51 90.00
Last column: nearest neighbours and their distance in Å.
Fractional coordinates of all 5 atoms:
Cd: 0.6772 0.5000 0.5847  2 Ir 2.88, 4 Mo 2.91-2.93
Te: 0.1350 0.0000 0.2748  1 Ir 2.63, 3 Mo 2.81-2.84
Mo: 0.3506 0.5000 0.9887  2 Mo 2.58, 2 Ir 2.60, 2 Te 2.81
Mo: 0.1972 0.0000 0.6985  2 Mo 2.58, 1 Ir 2.69, 1 Te 2.84
Ir: 0.7755 0.0000 0.9386  3 Mo 2.60-2.69, 1 Te 2.63, 2 Cd 2.88

D(E_F), states/eV/f.u.: 3.4
Electronic total energy, eV per atom: -6.606
Energy relative to the elements, uncorrected, meV per atom: 310
Magnetization, μB per cell: 0.00
Space-group type: Pm, No. 6

=====

No. 3
# CdTeMo2Ir

CdTeMo2Ir after structural relaxation (PBE-GGA, Alexandria).

a b c (Å): 3.0672 5.0561 7.2672
angles (deg): 74.20 77.84 72.46
Last column: nearest neighbours and their distance in Å.
Fractional coordinates of all 5 atoms:
Cd: 0.9277 0.8286 0.5199  2 Ir 2.94, 4 Mo 2.97-3.08, 2 Cd 3.07
Te: 0.8192 0.4235 0.1452  5 Mo 2.64-2.88
Mo: 0.5380 0.9755 0.1527  3 Te 2.64-2.67, 2 Ir 2.68, 1 Mo 2.72
Mo: 0.5108 0.3709 0.8124  3 Ir 2.64-2.71, 1 Mo 2.72, 2 Te 2.88
Ir: 0.2158 0.9160 0.8552  5 Mo 2.64-2.71, 2 Cd 2.94

D(E_F), states/eV/f.u.: 4.2
Electronic total energy, eV per atom: -6.566
Energy relative to the elements, uncorrected, meV per atom: 350
Magnetization, μB per cell: 0.00
Space-group type: P1, No. 1

=====

No. 4
# CdTeMo2Ir

CdTeMo2Ir after structural relaxation (PBE-GGA, Alexandria).

a b c (Å): 3.0921 5.4430 6.8601
angles (deg): 103.58 90.02 106.51
Last column: nearest neighbours and their distance in Å.
Fractional coordinates of all 5 atoms:
Cd: 0.5688 0.4421 0.6641  3 Mo 2.79-2.88, 2 Ir 2.95, 2 Cd 3.09
Te: 0.7296 0.7627 0.2469  2 Ir 2.68, 1 Mo 2.76
Mo: 0.3216 0.9480 0.9291  2 Mo 2.45, 2 Ir 2.71
Mo: 0.8348 0.9741 0.6568  2 Mo 2.45
Ir: 0.0417 0.3878 0.0175  2 Te 2.68, 3 Mo 2.71-2.86, 2 Cd 2.95

D(E_F), states/eV/f.u.: 2.9
Electronic total energy, eV per atom: -6.491
Energy relative to the elements, uncorrected, meV per atom: 425
Magnetization, μB per cell: 0.00
Space-group type: Cm, No. 8

=====

No. 5
# TlCdMo2Ir

TlCdMo2Ir after structural relaxation (PBE-GGA, Alexandria).

a b c (Å): 4.8742 5.1735 4.8742
angles (deg): 90.00 90.00 90.00
Last column: nearest neighbours and their distance in Å.
Fractional coordinates of all 5 atoms:
Tl: 0.0000 0.5000 0.0000  2 Ir 2.59
Ir: 0.0000 0.0000 0.0000  4 Mo 2.44, 2 Tl 2.59
Mo: 0.0000 0.0000 0.5000  2 Ir 2.44
Mo: 0.5000 0.0000 0.0000  2 Ir 2.44
Cd: 0.5000 0.5000 0.5000  4 Tl 3.45, 8 Mo 3.55

DFT formation energy, eV per atom: 1.308
D(E_F), states/eV/f.u.: 5.8
Electronic total energy, eV per atom: -5.453
Magnetization, μB per cell: 2.98
Space-group type: P4/mmm, No. 123

=====

No. 6
# Zn2CdMoIr

Zn2CdMoIr after structural relaxation (PBE-GGA, Alexandria).

a b c (Å): 4.6719 5.0272 4.6719
angles (deg): 90.00 90.00 90.00
Last column: nearest neighbours and their distance in Å.
Fractional coordinates of all 5 atoms:
Mo: 0.5000 0.5000 0.5000  4 Ir 3.30, 8 Zn 3.43
Ir: 0.0000 0.5000 0.0000  2 Cd 2.51
Zn: 0.0000 0.0000 0.5000  2 Cd 2.34
Zn: 0.5000 0.0000 0.0000  2 Cd 2.34
Cd: 0.0000 0.0000 0.0000  4 Zn 2.34, 2 Ir 2.51

DFT formation energy, eV per atom: 1.564
D(E_F), states/eV/f.u.: 3.4
Electronic total energy, eV per atom: -3.067
Magnetization, μB per cell: 3.54
Space-group type: P4/mmm, No. 123

=====

No. 7
# ZrCdMo2Ir

ZrCdMo2Ir after structural relaxation (PBE-GGA, Alexandria).

a b c (Å): 4.8130 5.0409 4.8130
angles (deg): 90.00 90.00 90.00
Last column: nearest neighbours and their distance in Å.
Fractional coordinates of all 5 atoms:
Mo: 0.0000 0.0000 0.5000  2 Cd 2.41
Mo: 0.5000 0.0000 0.0000  2 Cd 2.41
Ir: 0.5000 0.5000 0.5000  4 Zr 3.40, 8 Mo 3.48
Zr: 0.0000 0.5000 0.0000  2 Cd 2.52
Cd: 0.0000 0.0000 0.0000  4 Mo 2.41, 2 Zr 2.52

DFT formation energy, eV per atom: 2.327
D(E_F), states/eV/f.u.: 8.0
Electronic total energy, eV per atom: -5.670
Magnetization, μB per cell: 3.18
Space-group type: P4/mmm, No. 123

=====

No. 8
# CdIrN

CdIrN after structural relaxation (PBE-GGA, Alexandria).

a b c (Å): 3.0898 3.0477 10.4908
angles (deg): 73.51 98.66 89.95
Last column: nearest neighbours and their distance in Å.
Fractional coordinates of all 6 atoms:
N: 0.6214 0.5033 0.2391  1 Ir 1.84
N: 0.3786 0.4967 0.7609  1 Ir 1.84
Ir: 0.2885 0.6760 0.5756  1 N 1.84
Ir: 0.7115 0.3240 0.4244  1 N 1.84
Cd: 0.0653 0.1109 0.1318  4 N 2.41-2.42
Cd: 0.9347 0.8891 0.8682  4 N 2.41-2.42

D(E_F), states/eV/f.u.: 1.0
Electronic total energy, eV per atom: -5.427
Energy relative to the elements, uncorrected, meV per atom: 607
Magnetization, μB per cell: 0.00
Space-group type: P-1, No. 2

=====

No. 9
# Cd2IrN

Cd2IrN after structural relaxation (PBE-GGA, Alexandria).

a b c (Å): 9.1965 9.1965 6.7643
angles (deg): 47.17 47.17 90.00
Last column: nearest neighbours and their distance in Å.
Fractional coordinates of all 8 atoms:
N: 0.5000 0.5000 0.0000  2 Ir 1.86
N: 0.2500 0.7500 0.5000  2 Ir 1.86
Ir: 0.0000 0.0000 0.0000  2 N 1.86
Ir: 0.7500 0.2500 0.5000  2 N 1.86
Cd: 0.5020 0.1250 0.2500  2 N 2.62, 2 Cd 2.93, 2 Ir 2.93
Cd: 0.2480 0.6250 0.2500  2 N 2.62, 2 Cd 2.93, 2 Ir 2.93
Cd: 0.3750 0.4980 0.7500  2 N 2.62, 2 Cd 2.93, 2 Ir 2.93
Cd: 0.8750 0.7520 0.7500  2 N 2.62, 2 Cd 2.93, 2 Ir 2.93

D(E_F), states/eV/f.u.: 2.0
Electronic total energy, eV per atom: -4.355
Energy relative to the elements, uncorrected, meV per atom: 399
Magnetization, μB per cell: 0.00
Space-group type: I-42d, No. 122

=====

No. 10
# CdIr2N

CdIr2N after structural relaxation (PBE-GGA, Alexandria).

a b c (Å): 6.4695 6.4695 5.4758
angles (deg): 53.79 53.79 90.00
Last column: nearest neighbours and their distance in Å.
Fractional coordinates of all 8 atoms:
N: 0.5000 0.5000 0.0000  4 Ir 1.94
N: 0.2500 0.7500 0.5000  4 Ir 1.94
Ir: 0.4932 0.1250 0.2500  2 N 1.94
Ir: 0.2568 0.6250 0.2500  2 N 1.94
Ir: 0.3750 0.5068 0.7500  2 N 1.94
Ir: 0.8750 0.7432 0.7500  2 N 1.94
Cd: 0.0000 0.0000 0.0000  8 Ir 2.88-3.05, 2 N 3.01
Cd: 0.7500 0.2500 0.5000  8 Ir 2.88-3.05, 2 N 3.01

D(E_F), states/eV/f.u.: 1.7
Electronic total energy, eV per atom: -6.326
Energy relative to the elements, uncorrected, meV per atom: 415
Magnetization, μB per cell: 0.00
Space-group type: I-42d, No. 122

=====

No. 11
# CdIr2N

CdIr2N after structural relaxation (PBE-GGA, Alexandria).

a b c (Å): 4.3419 4.3419 4.3419
angles (deg): 60.00 60.00 60.00
Last column: nearest neighbours and their distance in Å.
Fractional coordinates of all 4 atoms:
N: 0.0000 0.0000 0.0000  8 Ir 2.66
Ir: 0.2500 0.2500 0.2500  4 Cd 2.66, 4 N 2.66
Ir: 0.7500 0.7500 0.7500  4 N 2.66, 4 Cd 2.66
Cd: 0.5000 0.5000 0.5000  8 Ir 2.66

D(E_F), states/eV/f.u.: 4.2
Electronic total energy, eV per atom: -5.102
Energy relative to the elements, uncorrected, meV per atom: 1639
Magnetization, μB per cell: 0.00
Space-group type: Fm-3m, No. 225

=====

No. 12
# NbCdIr2N

NbCdIr2N after structural relaxation (PBE-GGA, Alexandria).

a b c (Å): 4.9458 3.9683 4.9458
angles (deg): 90.00 90.00 90.00
Last column: nearest neighbours and their distance in Å.
Fractional coordinates of all 5 atoms:
N: 0.0000 0.5000 0.0000  2 Nb 1.98
Nb: 0.0000 0.0000 0.0000  2 N 1.98
Ir: 0.0000 0.0000 0.5000  2 Nb 2.47
Ir: 0.5000 0.0000 0.0000  2 Nb 2.47
Cd: 0.5000 0.5000 0.5000  8 Ir 3.17, 4 N 3.50

D(E_F), states/eV/f.u.: 5.4
Electronic total energy, eV per atom: -6.293
Energy relative to the elements, uncorrected, meV per atom: 1113
Magnetization, μB per cell: 1.22
Space-group type: P4/mmm, No. 123

=====

No. 13
# CdNi2IrN

CdNi2IrN after structural relaxation (PBE-GGA, Alexandria).

a b c (Å): 3.9688 3.9688 3.9918
angles (deg): 90.00 90.00 90.00
Last column: nearest neighbours and their distance in Å.
Fractional coordinates of all 5 atoms:
Ni: 0.0000 0.5000 0.0000  2 N 1.98
Ni: 0.5000 0.0000 0.0000  2 N 1.98
N: 0.0000 0.0000 0.0000  4 Ni 1.98, 2 Ir 2.00
Ir: 0.0000 0.0000 0.5000  2 N 2.00
Cd: 0.5000 0.5000 0.5000  4 Ir 2.81, 8 Ni 2.81

D(E_F), states/eV/f.u.: 2.5
Electronic total energy, eV per atom: -5.812
Energy relative to the elements, uncorrected, meV per atom: 121
Magnetization, μB per cell: 0.00
Space-group type: P4/mmm, No. 123

=====

No. 14
# CdIrN2O

CdIrN2O after structural relaxation (PBE-GGA, Alexandria).

a b c (Å): 3.7787 3.7787 4.4605
angles (deg): 90.00 90.00 90.00
Last column: nearest neighbours and their distance in Å.
Fractional coordinates of all 5 atoms:
N: 0.0000 0.5000 0.0000  2 Ir 1.89
N: 0.5000 0.0000 0.0000  2 Ir 1.89
Ir: 0.0000 0.0000 0.0000  4 N 1.89
O: 0.0000 0.0000 0.5000  2 Ir 2.23
Cd: 0.5000 0.5000 0.5000  4 O 2.67, 8 N 2.92

D(E_F), states/eV/f.u.: 2.3
Electronic total energy, eV per atom: -5.684
Energy relative to the elements, uncorrected, meV per atom: 593
Magnetization, μB per cell: 0.00
Space-group type: P4/mmm, No. 123